4
Lattice="5.089 0.000 0.000 0.000 5.089 0.000 0.000 0.000 5.089" Properties=species:S:1:pos:R:3 comment="NdY3, relaxed, DFT PBE-GGA" polymorph_energy_mev_per_atom=13 volume_a3_per_cell=132 delta_e_f_ev_per_atom=0.02 pbc="T T T"
Nd 0.000 0.000 0.000
Y 0.000 2.544 2.544
Y 2.544 0.000 2.544
Y 2.544 2.544 0.000

=====

8
Lattice="7.496 0.000 0.000 0.000 4.329 0.000 -2.490 0.000 7.071" Properties=species:S:1:pos:R:3 comment="AcPm2NdAs4, relaxed, DFT PBE-GGA" volume_a3_per_cell=229 delta_e_f_ev_per_atom=-1.49 pbc="T T T"
Ac 0.000 0.000 0.000
Pm 2.503 0.000 3.535
Pm 3.748 2.164 0.000
Nd -1.245 2.164 3.535
As 0.065 0.000 5.276
As 1.312 2.164 1.839
As 3.694 2.164 5.232
As 4.941 0.000 1.795

=====

4
Lattice="1.454 -2.446 0.000 1.454 2.446 0.000 0.000 0.000 8.522" Properties=species:S:1:pos:R:3 comment="ZnRu2Se, relaxed, DFT PBE-GGA" polymorph_energy_mev_per_atom=336 volume_a3_per_cell=61 pbc="T T T"
Zn 0.000 0.000 0.000
Ru 1.454 0.000 2.156
Ru 1.454 0.000 6.366
Se 0.000 0.000 4.261

=====

3
Lattice="-1.385 1.878 3.993 1.385 -1.878 3.993 1.385 1.878 -3.993" Properties=species:S:1:pos:R:3 comment="CuReOs, relaxed, DFT PBE-GGA" polymorph_energy_mev_per_atom=0 volume_a3_per_cell=42 delta_e_f_ev_per_atom=0.17 pbc="T T T"
Cu 0.000 0.000 0.000
Re 0.000 0.000 2.639
Os 0.000 0.000 5.346

=====

18
Lattice="4.994 0.000 0.000 0.000 4.994 0.000 0.000 0.000 9.867" Properties=species:S:1:pos:R:3 comment="AcTiPdO6, relaxed, DFT PBE-GGA" volume_a3_per_cell=246 energy_ev_per_cell=-127.223 pbc="T T T"
Ac 0.000 0.000 0.000
Ac 2.497 2.497 4.934
Ti 0.000 0.000 6.477
Ti 2.497 2.497 1.543
Pd 0.000 0.000 3.207
Pd 2.497 2.497 8.140
O 0.820 0.820 4.864
O 1.082 1.082 7.847
O 1.137 1.137 1.846
O 1.359 3.634 6.779
O 1.414 3.579 2.913
O 1.677 3.317 9.797
O 3.317 1.677 9.797
O 3.579 1.414 2.913
O 3.634 1.359 6.779
O 3.856 3.856 1.846
O 3.911 3.911 7.847
O 4.173 4.173 4.864

=====

13
Lattice="2.676 1.545 6.733 -2.676 1.545 6.733 0.000 -3.090 6.733" Properties=species:S:1:pos:R:3 comment="Sr3Li2H8, relaxed, DFT PBE-GGA" volume_a3_per_cell=167 energy_ev_per_cell=-41.499 pbc="T T T"
Sr 0.000 0.000 0.000
Sr 0.000 0.000 4.163
Sr 0.000 0.000 16.035
Li 0.000 0.000 8.282
Li 0.000 0.000 11.916
H -1.440 -0.831 11.324
H 0.000 -1.662 8.874
H -1.440 0.831 8.874
H 0.000 0.000 6.510
H 0.000 0.000 13.688
H 1.440 -0.831 11.324
H 0.000 1.662 11.324
H 1.440 0.831 8.874